YSbW SCAN PBEsol geometry; E_tot = -134.6 eV/f.u.; magnetization = 0.0 Bohr magnetons per cell; crystal system = tetragonal; SG = I4mm, No. 107; N(E_F) = 0.542 states/eV/atom; ΔE to the lowest computed polymorph = 0.000 eV per atom
1.0
-1.760 1.760 5.195
1.760 -1.760 5.195
1.760 1.760 -5.195
Y Sb W
1 1 1
Direct
0.000 0.000 0.000
0.697 0.697 0.000
0.315 0.315 0.000

=====

YSb2W SCAN PBEsol geometry; E_tot = -172.1 eV/f.u.; magnetization = 0.0 Bohr magnetons per cell; crystal system = monoclinic; SG = C2/m, No. 12; N(E_F) = 0.802 states/eV/atom; ΔE to the lowest computed polymorph = 0.000 eV per atom
1.0
4.004 -1.847 0.000
4.004 1.847 0.000
-1.689 0.000 6.272
Y Sb W
1 2 1
Direct
0.000 0.000 0.000
0.240 0.240 0.709
0.760 0.760 0.291
0.500 0.500 0.500

=====

YSb2W SCAN PBEsol geometry; E_tot = -171.1 eV/f.u.; magnetization = 0.0 Bohr magnetons per cell; crystal system = orthorhombic; SG = Cmm2, No. 35; N(E_F) = 0.713 states/eV/atom; ΔE to the lowest computed polymorph = 0.237 eV per atom
1.0
1.888 -2.459 0.000
1.888 2.459 0.000
0.000 0.000 10.347
Y Sb W
1 2 1
Direct
0.000 0.000 0.000
0.000 0.000 0.584
0.500 0.500 0.246
0.500 0.500 0.779

=====

YSb2W SCAN PBEsol geometry; E_tot = -171.5 eV/f.u.; magnetization = 0.0 Bohr magnetons per cell; crystal system = orthorhombic; SG = Immm, No. 71; N(E_F) = 0.729 states/eV/atom; ΔE to the lowest computed polymorph = 0.145 eV per atom
1.0
-1.730 2.784 4.733
1.730 -2.784 4.733
1.730 2.784 -4.733
Y Sb W
1 2 1
Direct
0.000 0.000 0.000
0.281 0.781 0.500
0.719 0.219 0.500
0.500 0.500 0.000

=====

YSbW SCAN PBEsol geometry; E_tot = -131.1 eV/f.u.; magnetization = 3.2 Bohr magnetons per cell; crystal system = cubic; SG = F-43m, No. 216; N(E_F) = 0.835 states/eV/atom; ΔE to the lowest computed polymorph = 1.149 eV per atom
1.0
0.000 3.403 3.403
3.403 0.000 3.403
3.403 3.403 0.000
Y Sb W
1 1 1
Direct
0.000 0.000 0.000
0.250 0.250 0.250
0.750 0.750 0.750

=====

YSbW SCAN PBEsol geometry; E_tot = -133.8 eV/f.u.; magnetization = 0.0 Bohr magnetons per cell; crystal system = trigonal; SG = P3m1, No. 156; N(E_F) = 0.368 states/eV/atom; ΔE to the lowest computed polymorph = 0.252 eV per atom
1.0
3.409 0.000 0.000
-1.704 2.952 0.000
0.000 0.000 6.697
Y Sb W
1 1 1
Direct
0.000 0.000 0.000
0.333 0.667 0.620
0.667 0.333 0.337

=====

YSb2W SCAN PBEsol geometry; E_tot = -172.0 eV/f.u.; magnetization = 0.0 Bohr magnetons per cell; crystal system = tetragonal; SG = P4mm, No. 99; N(E_F) = 0.526 states/eV/atom; ΔE to the lowest computed polymorph = 0.033 eV per atom
1.0
3.610 0.000 0.000
0.000 3.610 0.000
0.000 0.000 6.753
Y Sb W
1 2 1
Direct
0.000 0.000 0.000
0.000 0.000 0.544
0.500 0.500 0.257
0.500 0.500 0.704

=====

ZnSb2W SCAN PBEsol geometry; E_tot = -155.0 eV/f.u.; magnetization = 0.0 Bohr magnetons per cell; crystal system = orthorhombic; SG = Immm, No. 71; N(E_F) = 0.532 states/eV/atom
1.0
-1.915 2.465 4.010
1.915 -2.465 4.010
1.915 2.465 -4.010
Zn Sb W
1 2 1
Direct
0.000 0.000 0.000
0.231 0.731 0.500
0.769 0.269 0.500
0.500 0.500 0.000

=====

Zr2SbW SCAN PBEsol geometry; E_tot = -167.6 eV/f.u.; magnetization = 0.0 Bohr magnetons per cell; crystal system = orthorhombic; SG = Cmm2, No. 35; N(E_F) = 1.077 states/eV/atom
1.0
1.787 -2.520 0.000
1.787 2.520 0.000
0.000 0.000 9.004
Zr Sb W
2 1 1
Direct
0.000 0.000 0.000
0.500 0.500 0.279
0.000 0.000 0.534
0.500 0.500 0.767

=====

ZrSb2W SCAN PBEsol geometry; E_tot = -173.7 eV/f.u.; magnetization = 0.0 Bohr magnetons per cell; crystal system = orthorhombic; SG = Pmmm, No. 47; N(E_F) = 0.602 states/eV/atom; ΔE to the lowest computed polymorph = 0.124 eV per atom
1.0
3.718 0.000 0.000
0.000 4.293 0.000
0.000 0.000 5.072
Zr Sb W
1 2 1
Direct
0.000 0.000 0.000
0.000 0.500 0.500
0.500 0.500 0.000
0.500 0.000 0.500

=====

ZrSbW3 SCAN PBEsol geometry; E_tot = -266.0 eV/f.u.; magnetization = 0.0 Bohr magnetons per cell; crystal system = cubic; SG = Pm-3m, No. 221; N(E_F) = 1.208 states/eV/atom
1.0
4.811 0.000 0.000
0.000 4.811 0.000
0.000 0.000 4.811
Zr Sb W
1 1 3
Direct
0.000 0.000 0.000
0.500 0.500 0.500
0.000 0.500 0.500
0.500 0.000 0.500
0.500 0.500 0.000

=====

ZrSb2W SCAN PBEsol geometry; E_tot = -174.2 eV/f.u.; magnetization = 0.0 Bohr magnetons per cell; crystal system = trigonal; SG = R3m, No. 160; N(E_F) = 0.604 states/eV/atom; ΔE to the lowest computed polymorph = 0.000 eV per atom
1.0
1.675 0.967 8.963
-1.675 0.967 8.963
0.000 -1.935 8.963
Zr Sb W
1 2 1
Direct
0.000 0.000 0.000
0.519 0.519 0.519
0.752 0.752 0.752
0.258 0.258 0.258

=====

ZrSbW2 SCAN PBEsol geometry; E_tot = -206.7 eV/f.u.; magnetization = 0.0 Bohr magnetons per cell; crystal system = tetragonal; SG = P4mm, No. 99; N(E_F) = 0.794 states/eV/atom
1.0
3.185 0.000 0.000
0.000 3.185 0.000
0.000 0.000 7.476
Zr Sb W
1 1 2
Direct
0.000 0.000 0.000
0.500 0.500 0.317
0.000 0.000 0.558
0.500 0.500 0.750